Record 1
This record from Alexandria describes a relaxed structure of Be2CoRe. The functional is GGA-PBE.

## Properties
N(E_F): 5.67 states/eV per cell
Energy of formation from the pure elements: 48 meV/atom
Volume: 10.823 A^3/atom
Polymorph energy (0 for the lowest one): 0.211 eV/atom
E_tot: -0.49269 Ry per atom

Geometry as CIF:
```
data_Be2CoRe
_symmetry_space_group_name_H-M 'I m m m'
_symmetry_Int_Tables_number 71
_symmetry_space_group_name_Hall '-I 2 2'
_cell_length_a 2.629
_cell_length_b 4.271
_cell_length_c 7.710
_cell_angle_alpha 90.00
_cell_angle_beta 90.00
_cell_angle_gamma 90.00
loop_
_atom_site_label
_atom_site_type_symbol
_atom_site_fract_x
_atom_site_fract_y
_atom_site_fract_z
Be1 Be 0.000 0.000 0.232
Co1 Co 0.000 0.500 0.500
Re1 Re 0.000 0.500 0.000
```


Record 2
This record from Alexandria describes a relaxed structure of Y2RuRh. The functional is GGA-PBE.

## Properties
N(E_F): 2.00 states/eV per cell
Energy of formation from the pure elements: -588 meV/atom
Volume: 20.050 A^3/atom
E_tot: -0.58625 Ry per atom

Geometry as CIF:
```
data_Y2RuRh
_symmetry_space_group_name_H-M 'P 1 2/m 1'
_symmetry_Int_Tables_number 10
_cell_length_a 3.430
_cell_length_b 3.424
_cell_length_c 6.828
_cell_angle_alpha 90.00
_cell_angle_beta 90.11
_cell_angle_gamma 90.00
loop_
_symmetry_equiv_pos_as_xyz
'x,y,z'
'-x,-y,-z'
'-x,y,-z'
'x,-y,z'
loop_
_atom_site_label
_atom_site_type_symbol
_atom_site_fract_x
_atom_site_fract_y
_atom_site_fract_z
Y1 Y 0.001 0.000 0.254
Ru1 Ru 0.500 0.500 0.500
Rh1 Rh 0.500 0.500 0.000
```


Record 3
This record from Alexandria describes a relaxed structure of NaSn3O. The functional is GGA-PBE.

## Properties
N(E_F): 3.78 states/eV per cell
Volume: 30.498 A^3/atom
Polymorph energy (0 for the lowest one): 1.331 eV/atom
Raw formation energy: 1.040 eV/atom
E_tot: -0.19236 Ry per atom

Geometry as CIF:
```
data_NaSn3O
_symmetry_space_group_name_H-M 'P m -3 m'
_symmetry_Int_Tables_number 221
_symmetry_space_group_name_Hall '-P 4 2 3'
_cell_length_a 5.343
_cell_length_b 5.343
_cell_length_c 5.343
_cell_angle_alpha 90.00
_cell_angle_beta 90.00
_cell_angle_gamma 90.00
loop_
_atom_site_label
_atom_site_type_symbol
_atom_site_fract_x
_atom_site_fract_y
_atom_site_fract_z
Na1 Na 0.000 0.000 0.000
Sn1 Sn 0.000 0.000 0.500
O1 O 0.500 0.500 0.500
```


Record 4
This record from Alexandria describes a relaxed structure of MgMo4W. The functional is GGA-PBE.

## Properties
N(E_F): 9.60 states/eV per cell
Energy of formation from the pure elements: 268 meV/atom
Volume: 16.881 A^3/atom
E_tot: -0.68924 Ry per atom

Geometry as CIF:
```
data_MgMo4W
_symmetry_space_group_name_H-M 'F -4 3 m'
_symmetry_Int_Tables_number 216
_symmetry_space_group_name_Hall 'F -4 2 3'
_cell_length_a 7.400
_cell_length_b 7.400
_cell_length_c 7.400
_cell_angle_alpha 90.00
_cell_angle_beta 90.00
_cell_angle_gamma 90.00
loop_
_atom_site_label
_atom_site_type_symbol
_atom_site_fract_x
_atom_site_fract_y
_atom_site_fract_z
Mg1 Mg 0.000 0.000 0.000
Mo1 Mo 0.125 0.125 0.625
W1 W 0.250 0.250 0.250
```


Record 5
This record from Alexandria describes a relaxed structure of Sm2YHo2Tm. The functional is GGA-PBE.

## Properties
N(E_F): 20.22 states/eV per cell
Energy of formation from the pure elements: 145 meV/atom
Volume: 32.427 A^3/atom
E_tot: -0.35109 Ry per atom

Geometry as CIF:
```
data_Sm2YHo2Tm
_symmetry_space_group_name_H-M 'P 1 21/m 1'
_symmetry_Int_Tables_number 11
_cell_length_a 6.514
_cell_length_b 6.789
_cell_length_c 8.846
_cell_angle_alpha 90.00
_cell_angle_beta 95.86
_cell_angle_gamma 90.00
loop_
_symmetry_equiv_pos_as_xyz
'x,y,z'
'-x,-y,-z'
'-x,y+1/2,-z'
'x,-y+1/2,z'
loop_
_atom_site_label
_atom_site_type_symbol
_atom_site_fract_x
_atom_site_fract_y
_atom_site_fract_z
Sm1 Sm 0.084 0.250 0.019
Sm2 Sm 0.180 0.250 0.651
Y1 Y 0.182 0.750 0.654
Ho1 Ho 0.327 0.501 0.330
Tm1 Tm 0.428 0.750 0.006
```


Record 6
This record from Alexandria describes a relaxed structure of ZrInAgSe3. The functional is GGA-PBE.

## Properties
Volume: 25.891 A^3/atom
Raw formation energy: -0.762 eV/atom
E_tot: -0.35721 Ry per atom

Geometry as CIF:
```
data_ZrInAgSe3
_symmetry_space_group_name_H-M 'P 1 21/m 1'
_symmetry_Int_Tables_number 11
_cell_length_a 8.625
_cell_length_b 3.947
_cell_length_c 9.579
_cell_angle_alpha 90.00
_cell_angle_beta 107.68
_cell_angle_gamma 90.00
loop_
_symmetry_equiv_pos_as_xyz
'x,y,z'
'-x,-y,-z'
'-x,y+1/2,-z'
'x,-y+1/2,z'
loop_
_atom_site_label
_atom_site_type_symbol
_atom_site_fract_x
_atom_site_fract_y
_atom_site_fract_z
Zr1 Zr 0.186 0.250 0.161
In1 In 0.276 0.750 0.737
Ag1 Ag 0.426 0.750 0.392
Se1 Se 0.044 0.250 0.856
Se2 Se 0.240 0.250 0.451
Se3 Se 0.383 0.750 0.110
```